(1)
A crystal of SnPCl2O relaxed with PBEsol. Source: Alexandria, functional meta-GGA SCAN.

```
SnPCl2O
1.0
4.1347 0.0000 0.0000
0.0000 4.6079 0.0000
0.0000 0.0000 4.6079
P Sn O Cl
1 1 1 2
Direct
0.5000 0.0000 0.0000 P
0.5000 0.5000 0.5000 Sn
0.0000 0.0000 0.0000 O
0.0000 0.0000 0.5000 Cl
0.0000 0.5000 0.0000 Cl
```

Values from the calculation:
DFT total energy   -13.320 eV/atom
DOS at the Fermi energy   3.0 states/eV/cell
Uncorrected formation energy   0.38 eV per atom
Crystal system   tetragonal
Size of the total moment   0.0 μB/cell

---

(2)
A crystal of ZnAu4 relaxed with PBEsol. Source: Alexandria, functional meta-GGA SCAN.

```
ZnAu4
1.0
-0.0279 2.5763 1.3507
-2.3122 1.7477 -0.2487
-5.3617 -3.3369 9.3868
Zn Au
1 4
Direct
0.0000 0.0000 0.0000 Zn
0.3950 0.3950 0.8151 Au
0.7986 0.7986 0.6041 Au
0.2014 0.2014 0.3959 Au
0.6050 0.6050 0.1849 Au
```

Values from the calculation:
DFT total energy   -58.111 eV/atom
DOS at the Fermi energy   1.5 states/eV/cell
Crystal system   trigonal
Size of the total moment   0.0 μB/cell

---

(3)
A crystal of CrPBr2 relaxed with PBEsol. Source: Alexandria, functional meta-GGA SCAN.

```
CrPBr2
1.0
-4.3169 0.8399 -0.3597
-3.0169 -5.2355 -3.0830
-3.1720 -2.3503 5.5164
Cr Br P
2 4 2
Direct
0.0000 0.0000 0.0000 Cr
0.7500 0.5000 0.5000 Cr
0.8750 0.1472 0.3528 Br
0.3750 0.8528 0.6472 Br
0.7722 0.3528 0.8528 Br
0.9778 0.6472 0.1472 Br
0.5000 0.0000 0.0000 P
0.2500 0.5000 0.5000 P
```

Values from the calculation:
DFT total energy   -17.052 eV/atom
DOS at the Fermi energy   1.7 states/eV/cell
Uncorrected formation energy   -0.13 eV per atom
Crystal system   tetragonal
Size of the total moment   2.1 μB/cell
Energy above the lowest structure with this stoichiometry   247.0 meV per atom

---

(4)
A crystal of GeIr2PbCl relaxed with PBEsol. Source: Alexandria, functional meta-GGA SCAN.

```
GeIr2PbCl
1.0
4.5094 0.0000 0.0000
0.0000 4.5094 0.0000
0.0000 0.0000 5.9521
Pb Ge Ir Cl
1 1 2 1
Direct
0.0000 0.0000 0.5000 Pb
0.0000 0.0000 0.0000 Ge
0.0000 0.5000 0.0000 Ir
0.5000 0.0000 0.0000 Ir
0.5000 0.5000 0.5000 Cl
```

Values from the calculation:
DFT total energy   -48.177 eV/atom
DOS at the Fermi energy   2.1 states/eV/cell
Uncorrected formation energy   0.83 eV per atom
Crystal system   tetragonal
Size of the total moment   1.2 μB/cell

---

(5)
A crystal of AgMo2Cl relaxed with PBEsol. Source: Alexandria, functional meta-GGA SCAN.

```
AgMo2Cl
1.0
-1.9153 2.1177 -0.8500
-1.8056 0.1418 4.4220
5.0952 2.2822 -0.5746
Mo Ag Cl
2 1 1
Direct
0.0152 0.0152 0.0303 Mo
0.7022 0.2022 0.4045 Mo
0.5012 0.5012 0.0023 Ag
0.2814 0.7814 0.5628 Cl
```

Values from the calculation:
DFT total energy   -26.737 eV/atom
DOS at the Fermi energy   1.8 states/eV/cell
Uncorrected formation energy   0.54 eV per atom
Crystal system   orthorhombic
Size of the total moment   0.0 μB/cell
Energy above the lowest structure with this stoichiometry   0.0 meV per atom

---

(6)
A crystal of NbRhBr3 relaxed with PBEsol. Source: Alexandria, functional meta-GGA SCAN.

```
NbRhBr3
1.0
-1.2194 -0.4652 4.7519
3.7889 -3.0786 0.6709
2.9053 3.8197 1.1195
Nb Rh Br
1 1 3
Direct
0.5000 0.5000 0.5000 Nb
0.0000 0.0000 0.0000 Rh
0.0000 0.5000 0.0000 Br
0.0000 0.0000 0.5000 Br
0.5000 0.0000 0.0000 Br
```

Values from the calculation:
DFT total energy   -24.597 eV/atom
DOS at the Fermi energy   4.6 states/eV/cell
Uncorrected formation energy   0.46 eV per atom
Crystal system   cubic
Size of the total moment   3.5 μB/cell

---

(7)
A crystal of Li2LaIn relaxed with PBEsol. Source: Alexandria, functional meta-GGA SCAN.

```
Li2LaIn
1.0
3.1590 0.0000 0.0000
-1.5795 5.0220 0.0270
0.0000 -0.7736 5.9887
In La Li
1 1 2
Direct
0.0000 0.0000 0.5000 In
0.5000 0.0000 0.0000 La
0.7361 0.4723 0.6979 Li
0.2639 0.5277 0.3021 Li
```

Values from the calculation:
DFT total energy   -20.561 eV/atom
DOS at the Fermi energy   2.6 states/eV/cell
Crystal system   monoclinic
Size of the total moment   0.0 μB/cell

---

(8)
A crystal of Ba2SrPt2 relaxed with PBEsol. Source: Alexandria, functional meta-GGA SCAN.

```
Ba2SrPt2
1.0
-0.2327 3.9585 2.2998
-8.0977 -0.8241 0.5991
0.9308 -4.0322 7.0346
Sr Ba Pt
2 4 4
Direct
0.0000 0.0000 0.0000 Sr
0.0000 0.5000 0.5000 Sr
0.5000 0.1643 0.6643 Ba
0.5000 0.6643 0.8357 Ba
0.5000 0.8357 0.3357 Ba
0.5000 0.3357 0.1643 Ba
0.0000 0.3760 0.8760 Pt
0.0000 0.8760 0.6240 Pt
0.0000 0.6240 0.1240 Pt
0.0000 0.1240 0.3760 Pt
```

Values from the calculation:
DFT total energy   -49.094 eV/atom
DOS at the Fermi energy   3.6 states/eV/cell
Crystal system   tetragonal
Size of the total moment   0.0 μB/cell

---

(9)
A crystal of FeTeSe2 relaxed with PBEsol. Source: Alexandria, functional meta-GGA SCAN.

```
FeTeSe2
1.0
3.6156 0.0000 0.0000
0.0000 4.8261 0.0000
0.0000 -2.4131 4.5001
Fe Se Te
1 2 1
Direct
0.5000 0.7526 0.5052 Fe
0.0000 0.9181 0.8361 Se
0.5000 0.2688 0.5376 Se
0.0000 0.5595 0.1191 Te
```

Values from the calculation:
DFT total energy   -23.856 eV/atom
DOS at the Fermi energy   2.2 states/eV/cell
Uncorrected formation energy   0.03 eV per atom
Crystal system   orthorhombic
Size of the total moment   1.1 μB/cell

---

(10)
A crystal of K3VO4 relaxed with PBEsol. Source: Alexandria, functional meta-GGA SCAN.

```
K3VO4
1.0
5.5672 0.0000 0.0000
0.0000 5.5672 0.0000
-2.7836 -2.7836 5.1246
K O V
3 4 1
Direct
0.7500 0.2500 0.5000 K
0.2500 0.7500 0.5000 K
0.5000 0.5000 0.0000 K
0.0843 0.7241 0.8084 O
0.2759 0.2759 0.1916 O
0.9157 0.9157 0.1916 O
0.7241 0.0843 0.8084 O
0.0000 0.0000 0.0000 V
```

Values from the calculation:
DFT total energy   -10.743 eV/atom
DOS at the Fermi energy   0.0 states/eV/cell
Uncorrected formation energy   -2.32 eV per atom
Crystal system   tetragonal
Size of the total moment   0.2 μB/cell

---

(11)
A crystal of Ti2Cr3Si relaxed with PBEsol. Source: Alexandria, functional meta-GGA SCAN.

```
Ti2Cr3Si
1.0
4.7288 0.0000 0.0000
-2.3644 4.0953 0.0000
0.0000 0.0000 8.0016
Cr Si Ti
6 2 4
Direct
0.8274 0.1726 0.7500 Cr
0.6548 0.8274 0.2500 Cr
0.1726 0.8274 0.2500 Cr
0.8274 0.6548 0.7500 Cr
0.1726 0.3452 0.2500 Cr
0.3452 0.1726 0.7500 Cr
0.0000 0.0000 0.5000 Si
0.0000 0.0000 0.0000 Si
0.3333 0.6667 0.5630 Ti
0.6667 0.3333 0.4370 Ti
0.6667 0.3333 0.0630 Ti
0.3333 0.6667 0.9370 Ti
```

Values from the calculation:
DFT total energy   -16.541 eV/atom
DOS at the Fermi energy   10.3 states/eV/cell
Uncorrected formation energy   -0.34 eV per atom
Crystal system   hexagonal
Size of the total moment   0.0 μB/cell

---

(12)
A crystal of LaTlRe2 relaxed with PBEsol. Source: Alexandria, functional meta-GGA SCAN.

```
LaTlRe2
1.0
4.8212 0.0000 0.0000
2.4106 4.1753 0.0000
2.4106 1.3918 3.9365
La Re Tl
1 2 1
Direct
0.5000 0.5000 0.5000 La
0.0000 0.0000 0.0000 Re
0.2500 0.2500 0.2500 Re
0.7500 0.7500 0.7500 Tl
```

Values from the calculation:
DFT total energy   -63.487 eV/atom
DOS at the Fermi energy   3.5 states/eV/cell
Crystal system   cubic
Size of the total moment   0.0 μB/cell
Energy above the lowest structure with this stoichiometry   0.0 meV per atom